No. 1
Here is LaTb3Dy5 after structural relaxation from the Alexandria database. Energies are from PBE.

Summary:
As for the space-group type: C2/c (15). The uncorrected energy comes out at -38.919 eV/f.u. The density of states at the Fermi level is 28.1 states/eV/cell. The calculation puts the excess energy over the best structure of this formula in the dataset at 0 meV per atom.

CIF file:
```
data_LaTb3Dy5
_symmetry_space_group_name_H-M 'P 1'
_symmetry_Int_Tables_number 1
_symmetry_space_group_name_Hall 'P 1'
_cell_length_a 6.060
_cell_length_b 10.045
_cell_length_c 11.184
_cell_angle_alpha 110.94
_cell_angle_beta 90.00
_cell_angle_gamma 107.56
loop_
_atom_site_label
_atom_site_fract_x
_atom_site_fract_y
_atom_site_fract_z
Tb1 0.603 0.647 0.634
Tb2 0.397 0.353 0.366
Tb3 0.000 0.000 0.000
Tb4 0.044 0.647 0.134
Tb5 0.000 0.000 0.500
Tb6 0.956 0.353 0.866
Dy1 0.089 0.668 0.801
Dy2 0.375 0.000 0.750
Dy3 0.625 0.000 0.250
Dy4 0.911 0.332 0.199
Dy5 0.104 0.664 0.471
Dy6 0.896 0.336 0.529
Dy7 0.440 0.336 0.029
Dy8 0.560 0.664 0.971
Dy9 0.579 0.668 0.301
Dy10 0.421 0.332 0.699
La1 0.142 0.000 0.250
La2 0.858 0.000 0.750
```

No. 2
Here is LaTb4Dy8 after structural relaxation from the Alexandria database. Energies are from PBE.

Summary:
As for the space-group type: R-3m (166). The uncorrected energy comes out at -57.903 eV/f.u. The density of states at the Fermi level is 15.2 states/eV/cell.

CIF file:
```
data_LaTb4Dy8
_symmetry_space_group_name_H-M 'P 1'
_symmetry_Int_Tables_number 1
_symmetry_space_group_name_Hall 'P 1'
_cell_length_a 7.321
_cell_length_b 7.321
_cell_length_c 9.969
_cell_angle_alpha 90.00
_cell_angle_beta 111.54
_cell_angle_gamma 120.00
loop_
_atom_site_label
_atom_site_fract_x
_atom_site_fract_y
_atom_site_fract_z
Dy1 0.056 0.250 0.306
Dy2 0.562 0.781 0.342
Dy3 0.499 0.750 0.694
Dy4 0.944 0.195 0.694
Dy5 0.056 0.805 0.306
Dy6 0.438 0.219 0.658
Dy7 0.501 0.250 0.306
Dy8 0.944 0.750 0.694
Tb1 0.500 0.500 0.000
Tb2 0.000 0.000 0.000
Tb3 0.500 0.000 0.000
Tb4 0.000 0.500 0.000
La1 0.000 0.500 0.500
```